# 1
Compound: CePS
Source: the Alexandria database
Functional: PBE
Structure: relaxed

```
CePS
1.0
-1.324 5.201 1.002
-5.293 -1.491 0.748
2.929 -2.347 16.054
Ce P S
8 8 8
Cartesian
-0.020 3.050 6.455
-0.408 -1.432 14.336
-3.280 2.796 3.467
-3.668 -1.687 11.348
-1.731 1.686 11.278
0.003 0.973 2.392
-3.691 0.391 15.411
-1.957 -0.322 6.525
-2.261 2.266 0.763
-0.238 1.011 8.676
-4.055 2.730 9.585
-0.822 -3.280 16.582
-1.427 -0.903 17.040
-3.450 0.353 9.127
0.367 -1.366 8.218
-2.866 4.643 1.221
-0.521 3.467 3.626
-0.938 -1.023 11.511
-2.750 2.387 6.292
-3.167 -2.104 14.177
-1.211 1.261 14.168
0.538 0.553 5.280
-4.225 0.811 12.523
-2.477 0.102 3.635
```

## Properties
E = -0.246 hartree per atom
uncorrected formation energy = -1.548 eV per atom
density of states at the Fermi level = 4.88 states/eV/f.u.

---

# 2
Compound: Ce2PS
Source: the Alexandria database
Functional: PBE
Structure: relaxed

```
Ce2PS
1.0
4.064 0.000 0.000
2.032 3.519 0.000
2.032 1.173 6.611
P S Ce
1 1 2
Cartesian
0.000 0.000 0.000
4.064 2.346 3.306
6.096 3.519 4.969
2.032 1.173 1.642
```

## Properties
E = -0.263 hartree per atom
uncorrected formation energy = -1.792 eV per atom
density of states at the Fermi level = 9.25 states/eV/f.u.

---

# 3
Compound: Ce2PS
Source: the Alexandria database
Functional: PBE
Structure: relaxed

```
Ce2PS
1.0
4.021 0.000 0.000
-2.010 3.482 0.000
0.000 0.000 13.907
Ce P S
4 2 2
Cartesian
0.000 2.321 5.318
2.010 1.161 12.271
2.010 1.161 8.589
0.000 2.321 1.636
0.000 0.000 6.953
0.000 0.000 0.000
2.010 1.161 3.477
0.000 2.321 10.430
```

## Properties
E = -0.259 hartree per atom
uncorrected formation energy = -1.693 eV per atom
density of states at the Fermi level = 10.60 states/eV/f.u.